Record 1
# Lu2BeNi

A relaxed Lu2BeNi crystal (PBE, Alexandria via LeMat-Bulk).

Unit cell a=3.3293 b=3.3293 c=6.5376 alpha=90.00 beta=90.00 gamma=90.00
Last column: nearest neighbours and their distance in Å.
Fractional positions:
Lu: 0.0000 0.0000 0.2489  4 Ni 2.86, 4 Be 2.87
Lu: 0.0000 0.0000 0.7511  4 Ni 2.86, 4 Be 2.87
Be: 0.5000 0.5000 0.5000  8 Lu 2.87
Ni: 0.5000 0.5000 0.0000  8 Lu 2.86

Values from the calculation:
* energy above the lowest structure with this stoichiometry: 0.0000 eV per atom
* symmetry: P4/mmm (123)
* calculated formation energy: -0.234 eV per atom
* DOS(E_F): 0.692 states/eV per atom



Record 2
# Ta2CoP

A relaxed Ta2CoP crystal (PBE, Alexandria via LeMat-Bulk).

Unit cell a=3.5195 b=5.0682 c=5.0682 alpha=39.74 beta=90.00 gamma=90.00
Last column: nearest neighbours and their distance in Å.
Fractional positions:
Ta: 0.0000 0.0000 0.0000  4 Co 2.59, 3 P 2.63-2.74
Ta: 0.5000 0.3100 0.3100  4 P 2.60, 3 Co 2.62-2.75
Co: 0.5000 0.5846 0.5846  2 P 2.20
P: 0.0000 0.7237 0.7237  2 Co 2.20

Values from the calculation:
* symmetry: Amm2 (38)
* calculated formation energy: -0.608 eV per atom
* DOS(E_F): 1.036 states/eV per atom



Record 3
# KCrSe2

A relaxed KCrSe2 crystal (PBE, Alexandria via LeMat-Bulk).

Unit cell a=7.2839 b=4.7293 c=11.3984 alpha=90.00 beta=90.00 gamma=90.00
Last column: nearest neighbours and their distance in Å.
Fractional positions:
K: 0.1466 0.2500 0.1237  8 Se 3.33-3.69, 3 Cr 3.57-3.69
K: 0.3534 0.7500 0.6237  8 Se 3.33-3.69, 3 Cr 3.57-3.69
K: 0.6466 0.2500 0.3763  8 Se 3.33-3.69, 3 Cr 3.57-3.69
K: 0.8534 0.7500 0.8763  8 Se 3.33-3.69, 3 Cr 3.57-3.69
Cr: 0.0713 0.7500 0.3680  5 Se 2.29-2.51
Cr: 0.4287 0.2500 0.8680  5 Se 2.29-2.51
Cr: 0.5713 0.7500 0.1320  5 Se 2.29-2.51
Cr: 0.9287 0.2500 0.6320  5 Se 2.29-2.51
Se: 0.0922 0.2500 0.4403  3 Cr 2.49-2.51
Se: 0.1394 0.2500 0.7808  2 Cr 2.29-2.33
Se: 0.3606 0.7500 0.2808  2 Cr 2.29-2.33
Se: 0.4078 0.7500 0.9403  3 Cr 2.49-2.51
Se: 0.5922 0.2500 0.0597  3 Cr 2.49-2.51
Se: 0.6394 0.2500 0.7192  2 Cr 2.29-2.33
Se: 0.8606 0.7500 0.2192  2 Cr 2.29-2.33
Se: 0.9078 0.7500 0.5597  3 Cr 2.49-2.51

Values from the calculation:
* symmetry: Pnma (62)
* DOS(E_F): 0.692 states/eV per atom
* formation energy from raw total energies: -0.53 eV/atom



Record 4
# HfNbZn

A relaxed HfNbZn crystal (PBE, Alexandria via LeMat-Bulk).

Unit cell a=5.2164 b=5.2164 c=5.2164 alpha=141.41 beta=141.41 gamma=55.72
Last column: nearest neighbours and their distance in Å.
Fractional positions:
Hf: 0.0000 0.0000 0.0000  5 Zn 2.90-3.04, 5 Nb 2.95
Nb: 0.6803 0.6803 0.0000  4 Zn 2.80, 5 Hf 2.95
Zn: 0.3298 0.3298 0.0000  4 Nb 2.80, 5 Hf 2.90-3.04

Values from the calculation:
* energy above the lowest structure with this stoichiometry: 0.0538 eV per atom
* symmetry: I4mm (107)
* calculated formation energy: -0.020 eV per atom
* DOS(E_F): 0.738 states/eV per atom



Record 5
# NaCdPb3

A relaxed NaCdPb3 crystal (PBE, Alexandria via LeMat-Bulk).

Unit cell a=5.5699 b=5.5699 c=5.5699 alpha=90.00 beta=90.00 gamma=90.00
Last column: nearest neighbours and their distance in Å.
Fractional positions:
Na: 0.0000 0.0000 0.0000  6 Pb 2.78
Cd: 0.5000 0.5000 0.5000  12 Pb 3.94
Pb: 0.0000 0.0000 0.5000  2 Na 2.78
Pb: 0.0000 0.5000 0.0000  2 Na 2.78
Pb: 0.5000 0.0000 0.0000  2 Na 2.78

Values from the calculation:
* energy above the lowest structure with this stoichiometry: 0.5361 eV per atom
* symmetry: Pm-3m (221)
* calculated formation energy: 0.489 eV per atom
* DOS(E_F): 0.945 states/eV per atom



Record 6
# Ba2YTe

A relaxed Ba2YTe crystal (PBE, Alexandria via LeMat-Bulk).

Unit cell a=5.9896 b=5.9896 c=5.9896 alpha=60.00 beta=60.00 gamma=60.00
Last column: nearest neighbours and their distance in Å.
Fractional positions:
Ba: 0.0000 0.0000 0.0000  4 Y 3.67, 4 Ba 3.67
Ba: 0.2500 0.2500 0.2500  4 Te 3.67, 4 Ba 3.67
Y: 0.7500 0.7500 0.7500  4 Te 3.67, 4 Ba 3.67
Te: 0.5000 0.5000 0.5000  4 Ba 3.67, 4 Y 3.67

Values from the calculation:
* symmetry: F-43m (216)
* DOS(E_F): 1.479 states/eV per atom
* formation energy from raw total energies: -0.16 eV/atom



Record 7
# Ca3Ce2PaSb6

A relaxed Ca3Ce2PaSb6 crystal (PBE, Alexandria via LeMat-Bulk).

Unit cell a=7.8472 b=7.8472 c=7.7243 alpha=99.76 beta=99.76 gamma=119.99
Last column: nearest neighbours and their distance in Å.
Fractional positions:
Ca: 0.0000 0.0000 0.0000  6 Sb 3.21-3.30
Ca: 0.3300 0.6700 0.0000  6 Sb 3.21-3.26
Ca: 0.6700 0.3300 0.0000  6 Sb 3.21-3.26
Ce: 0.1660 0.8340 0.5000  6 Sb 3.16-3.17
Ce: 0.8340 0.1660 0.5000  6 Sb 3.16-3.17
Pa: 0.5000 0.5000 0.5000  6 Sb 3.07
Sb: 0.0969 0.4213 0.2627  1 Pa 3.07, 2 Ce 3.17, 3 Ca 3.21-3.26
Sb: 0.2561 0.2561 0.7380  1 Pa 3.07, 2 Ce 3.16, 3 Ca 3.24-3.30
Sb: 0.4213 0.0969 0.2627  1 Pa 3.07, 2 Ce 3.17, 3 Ca 3.21-3.26
Sb: 0.5787 0.9031 0.7373  1 Pa 3.07, 2 Ce 3.17, 3 Ca 3.21-3.26
Sb: 0.7439 0.7439 0.2620  1 Pa 3.07, 2 Ce 3.16, 3 Ca 3.24-3.30
Sb: 0.9031 0.5787 0.7373  1 Pa 3.07, 2 Ce 3.17, 3 Ca 3.21-3.26

Values from the calculation:
* symmetry: C2/m (12)
* DOS(E_F): 0.691 states/eV per atom
* formation energy from raw total energies: -0.92 eV/atom



Record 8
# BaNdIn

A relaxed BaNdIn crystal (PBE, Alexandria via LeMat-Bulk).

Unit cell a=5.3102 b=5.3102 c=8.5014 alpha=90.00 beta=90.00 gamma=90.00
Last column: nearest neighbours and their distance in Å.
Fractional positions:
Ba: 0.2500 0.2500 0.1403  5 In 3.53-3.93
Ba: 0.7500 0.7500 0.8597  5 In 3.53-3.93
Nd: 0.2500 0.7500 0.5000  4 In 3.27
Nd: 0.7500 0.2500 0.5000  4 In 3.27
In: 0.2500 0.2500 0.7249  4 Nd 3.27, 1 Ba 3.53
In: 0.7500 0.7500 0.2751  4 Nd 3.27, 1 Ba 3.53

Values from the calculation:
* energy above the lowest structure with this stoichiometry: 0.0000 eV per atom
* symmetry: P4/nmm (129)
* calculated formation energy: -0.314 eV per atom
* DOS(E_F): 0.745 states/eV per atom



Record 9
# Zr8Ga2Co

A relaxed Zr8Ga2Co crystal (PBE, Alexandria via LeMat-Bulk).

Unit cell a=8.7355 b=8.7355 c=6.3407 alpha=96.93 beta=96.93 gamma=28.54
Last column: nearest neighbours and their distance in Å.
Fractional positions:
Zr: 0.0035 0.0035 0.2639  2 Co 2.63
Zr: 0.2165 0.2165 0.8432  3 Ga 2.90-2.92, 7 Zr 3.05-3.24
Zr: 0.3526 0.3526 0.4658  1 Co 2.48
Zr: 0.4022 0.4022 0.9798  2 Ga 2.96, 10 Zr 3.16-3.29
Zr: 0.5978 0.5978 0.0202  2 Ga 2.96, 10 Zr 3.16-3.29
Zr: 0.6474 0.6474 0.5342  1 Co 2.48
Zr: 0.7835 0.7835 0.1568  3 Ga 2.90-2.92, 7 Zr 3.05-3.24
Zr: 0.9965 0.9965 0.7361  2 Co 2.63
Ga: 0.1816 0.1816 0.2789  9 Zr 2.80-3.01
Ga: 0.8184 0.8184 0.7211  9 Zr 2.80-3.01
Co: 0.5000 0.5000 0.5000  6 Zr 2.48-2.63

Values from the calculation:
* symmetry: C2/m (12)
* calculated formation energy: -0.227 eV per atom
* DOS(E_F): 0.913 states/eV per atom



Record 10
# CuPCl3

A relaxed CuPCl3 crystal (PBE, Alexandria via LeMat-Bulk).

Unit cell a=4.8361 b=4.8361 c=4.8361 alpha=90.00 beta=90.00 gamma=90.00
Last column: nearest neighbours and their distance in Å.
Fractional positions:
Cu: 0.0000 0.0000 0.0000  12 Cl 3.42
P: 0.5000 0.5000 0.5000  6 Cl 2.42
Cl: 0.0000 0.5000 0.5000  2 P 2.42
Cl: 0.5000 0.0000 0.5000  2 P 2.42
Cl: 0.5000 0.5000 0.0000  2 P 2.42

Values from the calculation:
* energy above the lowest structure with this stoichiometry: 0.5524 eV per atom
* symmetry: Pm-3m (221)
* DOS(E_F): 0.394 states/eV per atom
* formation energy from raw total energies: 0.22 eV/atom



Record 11
# TbCe2ErAs4

A relaxed TbCe2ErAs4 crystal (PBE, Alexandria via LeMat-Bulk).

Unit cell a=7.1999 b=4.1655 c=7.2166 alpha=90.00 beta=109.51 gamma=90.00
Last column: nearest neighbours and their distance in Å.
Fractional positions:
Tb: 0.0000 0.0000 0.0000  6 As 2.93
Ce: 0.5000 0.0000 0.5000  6 As 2.96
Ce: 0.5000 0.5000 0.0000  6 As 2.97
Er: 0.0000 0.5000 0.5000  6 As 2.92
As: 0.2445 0.0000 0.7464  2 Er 2.92, 1 Tb 2.93, 3 Ce 2.96-2.97
As: 0.2458 0.5000 0.2503  1 Er 2.92, 2 Tb 2.93, 3 Ce 2.96-2.97
As: 0.7542 0.5000 0.7497  1 Er 2.92, 2 Tb 2.93, 3 Ce 2.96-2.97
As: 0.7555 0.0000 0.2536  2 Er 2.92, 1 Tb 2.93, 3 Ce 2.96-2.97

Values from the calculation:
* symmetry: P2/m (10)
* calculated formation energy: -1.478 eV per atom
* DOS(E_F): 1.349 states/eV per atom



Record 12
# La4Cl3O4

A relaxed La4Cl3O4 crystal (PBE, Alexandria via LeMat-Bulk).

Unit cell a=8.2390 b=8.2390 c=8.2390 alpha=153.70 beta=120.26 gamma=66.40
Last column: nearest neighbours and their distance in Å.
Fractional positions:
La: 0.2114 0.2114 0.0000  4 O 2.47
La: 0.2643 0.5000 0.7643  2 O 2.29
La: 0.7357 0.5000 0.2357  2 O 2.29
La: 0.7886 0.7886 0.0000  4 O 2.47
Cl: 0.0000 0.0000 0.0000  6 La 2.87-2.92, 8 O 3.20
Cl: 0.3891 0.8891 0.5000  1 Cl 3.06, 6 La 3.08-3.10, 4 O 3.34
Cl: 0.6109 0.1109 0.5000  1 Cl 3.06, 6 La 3.08-3.10, 4 O 3.34
O: 0.0158 0.3428 0.6730  3 La 2.29-2.47
O: 0.3302 0.6572 0.6730  3 La 2.29-2.47
O: 0.6698 0.3428 0.3270  3 La 2.29-2.47
O: 0.9842 0.6572 0.3270  3 La 2.29-2.47

Values from the calculation:
* symmetry: Immm (71)
* DOS(E_F): 0.095 states/eV per atom
* formation energy from raw total energies: -2.83 eV/atom